YZnGa2 | PBE | relaxed

```
data_YZnGa2
_cell_length_a 4.236
_cell_length_b 4.236
_cell_length_c 5.684
_cell_angle_alpha 68.12
_cell_angle_beta 68.12
_cell_angle_gamma 60.00
_space_group_name_H-M_alt 'P 1'
_space_group_IT_number 1
_space_group_name_Hall 'P 1'
loop_
_atom_site_label
_atom_site_type_symbol
_atom_site_fract_x
_atom_site_fract_y
_atom_site_fract_z
Zn1 Zn 0.500 0.500 0.500
Ga1 Ga 0.779 0.779 0.662
Ga2 Ga 0.221 0.221 0.338
Y1 Y 0.000 0.000 0.000
```

Properties
Total moment ... 0.00 μB/cell
E_tot ... -3.8823 eV per atom
Space group ... No. 166
DFT formation energy ... -434 meV/atom

=====

Nd2Sm3DySe6 | PBE | relaxed

```
data_Nd2Sm3DySe6
_cell_length_a 4.160
_cell_length_b 8.397
_cell_length_c 9.323
_cell_angle_alpha 102.80
_cell_angle_beta 102.89
_cell_angle_gamma 90.00
_space_group_name_H-M_alt 'P 1'
_space_group_IT_number 1
_space_group_name_Hall 'P 1'
loop_
_atom_site_label
_atom_site_type_symbol
_atom_site_fract_x
_atom_site_fract_y
_atom_site_fract_z
Nd1 Nd 0.168 0.336 0.336
Nd2 Nd 0.832 0.664 0.664
Se1 Se 0.663 0.078 0.325
Se2 Se 0.998 0.242 0.996
Se3 Se 0.002 0.758 0.004
Se4 Se 0.665 0.586 0.329
Se5 Se 0.335 0.414 0.671
Se6 Se 0.337 0.922 0.675
Sm1 Sm 0.500 0.500 0.000
Sm2 Sm 0.170 0.834 0.340
Sm3 Sm 0.830 0.166 0.660
Dy1 Dy 0.500 0.000 0.000
```

Properties
Total moment ... 0.00 μB/cell
Uncorrected formation energy ... -175 kJ/mol of atoms
E_tot ... -5.9120 eV per atom
Space group ... No. 12

=====

Na2RhPbN | PBE | relaxed

```
data_Na2RhPbN
_cell_length_a 5.011
_cell_length_b 5.011
_cell_length_c 3.807
_cell_angle_alpha 90.00
_cell_angle_beta 90.00
_cell_angle_gamma 90.00
_space_group_name_H-M_alt 'P 1'
_space_group_IT_number 1
_space_group_name_Hall 'P 1'
loop_
_atom_site_label
_atom_site_type_symbol
_atom_site_fract_x
_atom_site_fract_y
_atom_site_fract_z
Na1 Na 0.000 0.500 0.000
Na2 Na 0.500 0.000 0.000
N1 N 0.000 0.000 0.000
Pb1 Pb 0.500 0.500 0.500
Rh1 Rh 0.000 0.000 0.500
```

Properties
Total moment ... 0.00 μB/cell
Uncorrected formation energy ... 2 kJ/mol of atoms
E_tot ... -4.3827 eV per atom
Space group ... No. 123

=====

PuTlSn4 | PBE | relaxed

```
data_PuTlSn4
_cell_length_a 6.206
_cell_length_b 6.206
_cell_length_c 6.206
_cell_angle_alpha 60.00
_cell_angle_beta 60.00
_cell_angle_gamma 60.00
_space_group_name_H-M_alt 'P 1'
_space_group_IT_number 1
_space_group_name_Hall 'P 1'
loop_
_atom_site_label
_atom_site_type_symbol
_atom_site_fract_x
_atom_site_fract_y
_atom_site_fract_z
Tl1 Tl 0.250 0.250 0.250
Sn1 Sn 0.625 0.625 0.625
Sn2 Sn 0.625 0.625 0.124
Sn3 Sn 0.124 0.625 0.625
Sn4 Sn 0.625 0.124 0.625
Pu1 Pu 0.000 0.000 0.000
```

Properties
Total moment ... 5.59 μB/cell
E_tot ... -5.5010 eV per atom
Space group ... No. 216
DFT formation energy ... -49 meV/atom

=====

Zn2CrW | PBE | relaxed

```
data_Zn2CrW
_cell_length_a 4.198
_cell_length_b 3.644
_cell_length_c 3.644
_cell_angle_alpha 90.00
_cell_angle_beta 90.00
_cell_angle_gamma 90.00
_space_group_name_H-M_alt 'P 1'
_space_group_IT_number 1
_space_group_name_Hall 'P 1'
loop_
_atom_site_label
_atom_site_type_symbol
_atom_site_fract_x
_atom_site_fract_y
_atom_site_fract_z
W1 W 0.500 0.000 0.500
Zn1 Zn 0.000 0.000 0.000
Zn2 Zn 0.000 0.500 0.500
Cr1 Cr 0.500 0.500 0.000
```

Properties
Total moment ... 0.66 μB/cell
E_tot ... -6.0166 eV per atom
Space group ... No. 123
DFT formation energy ... 264 meV/atom

=====

LiAlZnGa3 | PBE | relaxed

```
data_LiAlZnGa3
_cell_length_a 3.997
_cell_length_b 6.482
_cell_length_c 8.511
_cell_angle_alpha 114.63
_cell_angle_beta 90.00
_cell_angle_gamma 90.00
_space_group_name_H-M_alt 'P 1'
_space_group_IT_number 1
_space_group_name_Hall 'P 1'
loop_
_atom_site_label
_atom_site_type_symbol
_atom_site_fract_x
_atom_site_fract_y
_atom_site_fract_z
Ga1 Ga 0.250 0.643 0.458
Ga2 Ga 0.750 0.357 0.542
Ga3 Ga 0.750 0.386 0.212
Ga4 Ga 0.750 0.893 0.055
Ga5 Ga 0.250 0.107 0.945
Ga6 Ga 0.250 0.614 0.788
Al1 Al 0.250 0.631 0.125
Al2 Al 0.750 0.369 0.875
Li1 Li 0.250 0.140 0.295
Li2 Li 0.750 0.860 0.705
Zn1 Zn 0.250 0.111 0.621
Zn2 Zn 0.750 0.889 0.379
```

Properties
Total moment ... 0.00 μB/cell
E_tot ... -2.7599 eV per atom
Space group ... No. 11
DFT formation energy ... -91 meV/atom

=====

Zr4Cr5 | PBE | relaxed

```
data_Zr4Cr5
_cell_length_a 7.040
_cell_length_b 7.040
_cell_length_c 7.040
_cell_angle_alpha 92.96
_cell_angle_beta 92.96
_cell_angle_gamma 153.73
_space_group_name_H-M_alt 'P 1'
_space_group_IT_number 1
_space_group_name_Hall 'P 1'
loop_
_atom_site_label
_atom_site_type_symbol
_atom_site_fract_x
_atom_site_fract_y
_atom_site_fract_z
Cr1 Cr 0.000 0.000 0.000
Cr2 Cr 0.330 0.670 0.000
Cr3 Cr 0.670 0.330 0.000
Cr4 Cr 0.330 0.330 0.660
Cr5 Cr 0.670 0.670 0.340
Zr1 Zr 0.307 0.000 0.307
Zr2 Zr 0.000 0.307 0.307
Zr3 Zr 0.693 0.000 0.693
Zr4 Zr 0.000 0.693 0.693
```

Properties
Total moment ... 0.19 μB/cell
E_tot ... -8.8171 eV per atom
Space group ... No. 139
DFT formation energy ... 328 meV/atom

=====

LaSc2Fe2 | PBE | relaxed

```
data_LaSc2Fe2
_cell_length_a 4.560
_cell_length_b 4.560
_cell_length_c 5.975
_cell_angle_alpha 67.57
_cell_angle_beta 67.57
_cell_angle_gamma 90.00
_space_group_name_H-M_alt 'P 1'
_space_group_IT_number 1
_space_group_name_Hall 'P 1'
loop_
_atom_site_label
_atom_site_type_symbol
_atom_site_fract_x
_atom_site_fract_y
_atom_site_fract_z
Sc1 Sc 0.344 0.344 0.312
Sc2 Sc 0.656 0.656 0.688
Fe1 Fe 0.750 0.250 0.500
Fe2 Fe 0.250 0.750 0.500
La1 La 0.000 0.000 0.000
```

Properties
Total moment ... 0.00 μB/cell
E_tot ... -6.6198 eV per atom
Space group ... No. 139
DFT formation energy ... 283 meV/atom